No. 1
First-principles (GGA-PBE) data for an optimized crystal structure of K2TcCl, as listed in Alexandria via LeMat-Bulk.

Values from the calculation:
Fermi-level density of states = 4.567 states/eV per cell
Space-group type = Immm, No. 71
Magnetization = 0.999 μB per atom
Energy relative to the elements, uncorrected = 0.452 eV per atom

Cell: 6.5885 6.5885 6.5885 Å, 141.07 110.90 82.26°
With the nearest neighbours (Å) after each atom.
Fractional positions:
1 K 0.0419 0.0419 0.0000  2 Cl 3.01
2 K 0.4581 0.4581 0.0000  2 Cl 3.01
3 Tc 0.7500 0.2500 0.5000  4 K 3.63
4 Cl 0.2500 0.7500 0.5000  4 K 3.01

No. 2
First-principles (GGA-PBE) data for an optimized crystal structure of K2TcCl, as listed in Alexandria via LeMat-Bulk.

Values from the calculation:
Fermi-level density of states = 7.019 states/eV per cell
Space-group type = F-43m, No. 216
Magnetization = 1.000 μB per atom
Energy relative to the elements, uncorrected = 0.688 eV per atom

Cell: 5.7312 5.7312 5.7312 Å, 60.00 60.00 60.00°
With the nearest neighbours (Å) after each atom.
Fractional positions:
1 K 0.0000 0.0000 0.0000  4 Tc 3.51, 4 K 3.51
2 K 0.2500 0.2500 0.2500  4 Cl 3.51, 4 K 3.51
3 Tc 0.7500 0.7500 0.7500  4 Cl 3.51, 4 K 3.51
4 Cl 0.5000 0.5000 0.5000  4 K 3.51, 4 Tc 3.51

No. 3
First-principles (GGA-PBE) data for an optimized crystal structure of KTl2TcCl6, as listed in Alexandria via LeMat-Bulk.

Values from the calculation:
Fermi-level density of states = 10.393 states/eV per cell
Space-group type = R-3m, No. 166
Magnetization = 0.200 μB per atom
Energy relative to the elements, uncorrected = -1.044 eV per atom

Cell: 7.2023 7.2023 15.4350 Å, 76.51 76.51 60.00°
With the nearest neighbours (Å) after each atom.
Fractional positions:
1 K 0.5850 0.5850 0.2450  6 Cl 3.12-3.14
2 K 0.4150 0.4150 0.7550  6 Cl 3.12-3.14
3 Tl 0.8534 0.8534 0.4397  3 Cl 3.15
4 Tl 0.1466 0.1466 0.5603  3 Cl 3.15
5 Tl 0.6867 0.6867 0.9400  3 Cl 3.16
6 Tl 0.3133 0.3133 0.0600  3 Cl 3.16
7 Tc 0.0000 0.0000 0.0000  6 Cl 2.41
8 Tc 0.5000 0.5000 0.5000  6 Cl 2.42
9 Cl 0.8490 0.3720 0.4070  1 Tc 2.42
10 Cl 0.3720 0.8490 0.4070  1 Tc 2.42
11 Cl 0.3720 0.3720 0.4070  1 Tc 2.42
12 Cl 0.1510 0.6280 0.5930  1 Tc 2.42
13 Cl 0.6280 0.1510 0.5930  1 Tc 2.42
14 Cl 0.6280 0.6280 0.5930  1 Tc 2.42
15 Cl 0.7147 0.1892 0.9069  1 Tc 2.41
16 Cl 0.1892 0.7147 0.9069  1 Tc 2.41
17 Cl 0.1892 0.1892 0.9069  1 Tc 2.41
18 Cl 0.2853 0.8108 0.0931  1 Tc 2.41
19 Cl 0.8108 0.2853 0.0931  1 Tc 2.41
20 Cl 0.8108 0.8108 0.0931  1 Tc 2.41

No. 4
First-principles (GGA-PBE) data for an optimized crystal structure of KTlTcCl6, as listed in Alexandria via LeMat-Bulk.

Values from the calculation:
Space-group type = P-31c, No. 163
Magnetization = 0.333 μB per atom
Energy relative to the elements, uncorrected = -1.086 eV per atom

Cell: 7.5163 7.5163 11.9974 Å, 90.00 90.00 120.00°
With the nearest neighbours (Å) after each atom.
Fractional positions:
1 K 0.3333 0.6667 0.2500  6 Cl 3.15
2 K 0.6667 0.3333 0.7500  6 Cl 3.15
3 Tl 0.0000 0.0000 0.0000  6 Cl 3.26
4 Tl 0.0000 0.0000 0.5000  6 Cl 3.26
5 Tc 0.6667 0.3333 0.2500  6 Cl 2.38
6 Tc 0.3333 0.6667 0.7500  6 Cl 2.38
7 Cl 0.6664 0.5912 0.1347  1 Tc 2.38
8 Cl 0.9248 0.3336 0.1347  1 Tc 2.38
9 Cl 0.3336 0.9248 0.6347  1 Tc 2.38
10 Cl 0.0752 0.6664 0.8653  1 Tc 2.38
11 Cl 0.4088 0.3336 0.3653  1 Tc 2.38
12 Cl 0.9248 0.5912 0.3653  1 Tc 2.38
13 Cl 0.5912 0.9248 0.8653  1 Tc 2.38
14 Cl 0.6664 0.0752 0.3653  1 Tc 2.38
15 Cl 0.0752 0.4088 0.6347  1 Tc 2.38
16 Cl 0.4088 0.0752 0.1347  1 Tc 2.38
17 Cl 0.5912 0.6664 0.6347  1 Tc 2.38
18 Cl 0.3336 0.4088 0.8653  1 Tc 2.38

No. 5
First-principles (GGA-PBE) data for an optimized crystal structure of KVTcCl6, as listed in Alexandria via LeMat-Bulk.

Values from the calculation:
Fermi-level density of states = 7.453 states/eV per cell
Space-group type = C2, No. 5
Magnetization = 0.348 μB per atom
Energy relative to the elements, uncorrected = -1.086 eV per atom

Cell: 5.9807 5.9809 7.4228 Å, 91.20 88.81 63.76°
With the nearest neighbours (Å) after each atom.
Fractional positions:
1 K 0.9983 0.9984 0.0000  6 Cl 3.13-3.20
2 V 0.6465 0.6466 0.5000  6 Cl 2.36-2.50
3 Tc 0.3479 0.3479 0.5000  6 Cl 2.40-2.45
4 Cl 0.0115 0.3398 0.3214  1 Tc 2.45, 1 V 2.47
5 Cl 0.3399 0.0116 0.6786  1 Tc 2.45, 1 V 2.47
6 Cl 0.6304 0.3699 0.7167  1 V 2.36, 1 Tc 2.40
7 Cl 0.9942 0.6613 0.6721  1 Tc 2.43, 1 V 2.50
8 Cl 0.3698 0.6304 0.2832  1 V 2.36, 1 Tc 2.40
9 Cl 0.6612 0.9942 0.3279  1 Tc 2.43, 1 V 2.50

No. 6
First-principles (GGA-PBE) data for an optimized crystal structure of K2TeCl4, as listed in Alexandria via LeMat-Bulk.

Values from the calculation:
Fermi-level density of states = 0.000 states/eV per cell
Space-group type = I4/mmm, No. 139
Magnetization = 0.000 μB per atom
Energy relative to the elements, uncorrected = -1.322 eV per atom

Cell: 6.7390 6.7390 6.7390 Å, 112.84 112.84 102.93°
With the nearest neighbours (Å) after each atom.
Fractional positions:
1 K 0.7500 0.2500 0.5000  8 Cl 3.37
2 K 0.2500 0.7500 0.5000  8 Cl 3.37
3 Te 0.5000 0.5000 0.0000  4 Cl 2.62
4 Cl 0.7484 0.7484 0.4969  1 Te 2.62
5 Cl 0.2515 0.2515 0.5031  1 Te 2.62
6 Cl 0.7485 0.2516 0.0000  1 Te 2.62
7 Cl 0.2516 0.7485 0.0000  1 Te 2.62

No. 7
First-principles (GGA-PBE) data for an optimized crystal structure of KTeCl2, as listed in Alexandria via LeMat-Bulk.

Values from the calculation:
Fermi-level density of states = 2.120 states/eV per cell
Space-group type = P4/mmm, No. 123
Magnetization = 0.000 μB per atom
Energy relative to the elements, uncorrected = -0.779 eV per atom

Cell: 4.5063 4.5063 6.0171 Å, 90.00 90.00 90.00°
With the nearest neighbours (Å) after each atom.
Fractional positions:
1 K 0.0000 0.0000 0.3749  6 Cl 3.01-3.19
2 Te 0.5000 0.5000 0.8752  6 Cl 3.01-3.19
3 Cl 0.0000 0.0000 0.8750  2 K 3.01, 4 Te 3.19
4 Cl 0.5000 0.5000 0.3750  2 Te 3.01, 4 K 3.19

No. 8
First-principles (GGA-PBE) data for an optimized crystal structure of K2TeCl, as listed in Alexandria via LeMat-Bulk.

Values from the calculation:
Fermi-level density of states = 0.741 states/eV per cell
Space-group type = Pmmm, No. 47
Magnetization = 0.000 μB per atom
Energy relative to the elements, uncorrected = -1.296 eV per atom

Cell: 3.9755 3.5859 9.4928 Å, 67.83 90.00 90.00°
With the nearest neighbours (Å) after each atom.
Fractional positions:
1 K 0.0000 0.0334 0.9662  4 Cl 3.28, 2 K 3.59, 4 Te 3.66
2 K 0.0000 0.4666 0.5338  4 Cl 3.28, 2 K 3.59, 4 Te 3.66
3 Te 0.5000 0.2500 0.2500  4 Te 3.59-3.98, 8 K 3.66
4 Cl 0.5000 0.7500 0.7500  8 K 3.28, 2 Cl 3.59

Question: Among the records above, which one has the highest energy relative to the elements, uncorrected?
Answer: number 2

Copy entry 7 word for word.
First-principles (GGA-PBE) data for an optimized crystal structure of KTeCl2, as listed in Alexandria via LeMat-Bulk.

Values from the calculation:
Fermi-level density of states = 2.120 states/eV per cell
Space-group type = P4/mmm, No. 123
Magnetization = 0.000 μB per atom
Energy relative to the elements, uncorrected = -0.779 eV per atom

Cell: 4.5063 4.5063 6.0171 Å, 90.00 90.00 90.00°
With the nearest neighbours (Å) after each atom.
Fractional positions:
1 K 0.0000 0.0000 0.3749  6 Cl 3.01-3.19
2 Te 0.5000 0.5000 0.8752  6 Cl 3.01-3.19
3 Cl 0.0000 0.0000 0.8750  2 K 3.01, 4 Te 3.19
4 Cl 0.5000 0.5000 0.3750  2 Te 3.01, 4 K 3.19

Question: Look up the magnetization of the third one.
Answer: 0.200 μB per atom

Question: Which formula does entry 4 have?
Answer: KTlTcCl6